--- w ---
An optimized crystal structure of MnFePd5, computed with PBE.

- Mass density: 9.6 g/cm3
- Spin magnetization: 8.7 μB/f.u.
- Symmetry: P4/mmm

abc: 4.015 4.015 6.879
angles: 90.00 90.00 90.00
Site moments in Bohr magnetons follow the coordinates.
Element x y z (fractional)
Fe 0.500 0.500 0.000  3.24
Pd 0.500 0.000 0.779  0.31
Pd 0.500 0.500 0.500  0.15
Pd 0.500 0.000 0.221  0.31
Pd 0.000 0.500 0.779  0.31
Pd 0.000 0.500 0.221  0.31
Mn 0.000 0.000 0.500  3.91

--- x ---
An optimized crystal structure of MnFePd5, computed with PBE.

- Mass density: 10.0 g/cm3
- Spin magnetization: 8.5 μB/f.u.
- Symmetry: Cmcm

abc: 6.996 6.996 4.797
angles: 89.99 89.99 114.57
Site moments in Bohr magnetons follow the coordinates.
Element x y z (fractional)
Pd 0.638 0.989 0.750  0.28
Pd 0.394 0.231 0.750  0.32
Pd 0.799 0.201 0.250  0.31
Pd 0.606 0.769 0.250  0.32
Pd 0.011 0.362 0.750  0.28
Pd 0.201 0.799 0.750  0.31
Pd 0.231 0.394 0.250  0.32
Pd 0.362 0.011 0.250  0.28
Pd 0.989 0.638 0.250  0.28
Pd 0.769 0.606 0.750  0.32
Mn 0.000 0.000 0.000  3.51
Mn 0.000 0.000 0.500  3.51
Fe 0.591 0.409 0.250  3.31
Fe 0.409 0.591 0.750  3.31

The structure with the greatest stability is w.

--- w ---
An optimized crystal structure of MnFePt3, computed with PBE.

- Mass density: 15.6 g/cm3
- Spin magnetization: 7.7 μB/f.u.
- Symmetry: C2/c

abc: 4.663 4.658 7.469
angles: 85.00 71.83 73.75
Site moments in Bohr magnetons follow the coordinates.
Element x y z (fractional)
Pt 0.260 0.844 0.198  0.28
Pt 0.762 0.344 0.194  0.24
Pt 0.649 0.844 0.420  0.24
Pt 0.455 0.844 0.808  0.32
Pt 0.151 0.344 0.416  0.28
Pt 0.956 0.345 0.806  0.32
Fe 0.351 0.344 0.016  3.10
Fe 0.060 0.844 0.598  3.10
Mn 0.854 0.845 0.010  3.63
Mn 0.557 0.344 0.605  3.63

--- x ---
An optimized crystal structure of MnFePt3, computed with PBE.

- Mass density: 12.3 g/cm3
- Spin magnetization: 3.4 μB/f.u.
- Symmetry: Pm-3m

abc: 4.544 4.544 4.544
angles: 90.00 90.00 90.00
Site moments in Bohr magnetons follow the coordinates.
Element x y z (fractional)
Pt 0.000 0.500 0.000  -0.01
Pt 0.500 0.000 0.000  0.07
Pt 0.000 0.000 0.500  0.01
Mn 0.000 0.000 0.000  -0.09
Fe 0.500 0.500 0.500  3.35

The structure with the greatest stability is w.

--- w ---
An optimized crystal structure of MnFePt4, computed with PBE.

- Mass density: 14.7 g/cm3
- Spin magnetization: 7.5 μB/f.u.
- Symmetry: F-43m

abc: 5.223 5.223 5.223
angles: 60.00 60.00 60.00
Site moments in Bohr magnetons follow the coordinates.
Element x y z (fractional)
Fe 0.750 0.750 0.750  3.25
Pt 0.375 0.875 0.375  0.02
Pt 0.375 0.375 0.875  0.02
Pt 0.375 0.375 0.375  0.02
Pt 0.875 0.375 0.375  0.02
Mn 0.000 0.000 0.000  4.06

--- x ---
An optimized crystal structure of MnFePt4, computed with PBE.

- Mass density: 16.3 g/cm3
- Spin magnetization: 8.1 μB/f.u.
- Symmetry: Pmma

abc: 2.746 7.567 8.756
angles: 90.00 90.00 90.00
Site moments in Bohr magnetons follow the coordinates.
Element x y z (fractional)
Pt 0.500 0.153 0.750  0.28
Pt 0.500 0.329 0.474  0.29
Pt 0.000 0.000 0.500  0.28
Pt 0.000 0.000 0.000  0.28
Pt 0.500 0.671 0.974  0.29
Pt 0.500 0.847 0.250  0.28
Pt 0.500 0.671 0.526  0.29
Pt 0.500 0.329 0.026  0.29
Mn 0.000 0.179 0.250  3.69
Mn 0.000 0.821 0.750  3.69
Fe 0.000 0.465 0.750  3.17
Fe 0.000 0.535 0.250  3.17

The structure with the greatest stability is x.